No. 1
Zr3SbOs | GGA-PBE | relaxed

a = 5.054 Å, b = 5.054 Å, c = 5.054 Å
α = 90.00°, β = 90.00°, γ = 90.00°
Element x y z (fractional)
1 Zr 0.000 0.000 0.500
2 Zr 0.500 0.000 0.000
3 Os 0.000 0.000 0.000
4 Zr 0.000 0.500 0.000
5 Sb 0.500 0.500 0.500

Computed properties:
energy relative to the lowest polymorph listed for this composition	0.000	eV/atom
crystal system	cubic
formation energy from raw total energies	0.103	eV/atom
calculated total energy	-8.10	eV per atom

=====

No. 2
ZrSbOs2 | GGA-PBE | relaxed

a = 4.767 Å, b = 4.767 Å, c = 5.142 Å
α = 79.59°, β = 79.59°, γ = 38.48°
Element x y z (fractional)
1 Sb 0.750 0.750 0.750
2 Os 0.995 0.995 0.997
3 Os 0.505 0.505 0.503
4 Zr 0.250 0.250 0.250

Computed properties:
crystal system	monoclinic
formation energy from raw total energies	0.141	eV/atom
calculated total energy	-8.64	eV per atom

=====

No. 3
Zr2SbOs | GGA-PBE | relaxed

a = 4.276 Å, b = 3.651 Å, c = 5.647 Å
α = 71.19°, β = 90.00°, γ = 90.00°
Element x y z (fractional)
1 Zr 0.000 0.967 0.939
2 Sb 0.500 0.544 0.786
3 Os 0.000 0.723 0.433
4 Zr 0.500 0.266 0.342

Computed properties:
crystal system	monoclinic
formation energy from raw total energies	-0.419	eV/atom
calculated total energy	-8.53	eV per atom

=====

No. 4
Sc5Os | GGA-PBE | relaxed

a = 5.627 Å, b = 5.627 Å, c = 5.627 Å
α = 60.00°, β = 60.00°, γ = 60.00°
Element x y z (fractional)
1 Os 0.000 0.000 0.000
2 Sc 0.250 0.250 0.250
3 Sc 0.626 0.626 0.626
4 Sc 0.626 0.626 0.121
5 Sc 0.626 0.121 0.626
6 Sc 0.121 0.626 0.626

Computed properties:
energy relative to the lowest polymorph listed for this composition	0.646	eV/atom
crystal system	cubic
calculated formation energy	0.453	eV per atom
calculated total energy	-6.69	eV per atom

=====

No. 5
Sc3Os | GGA-PBE | relaxed

a = 6.979 Å, b = 8.369 Å, c = 5.863 Å
α = 90.00°, β = 90.00°, γ = 90.00°
Element x y z (fractional)
1 Os 0.617 0.750 0.962
2 Sc 0.035 0.250 0.885
3 Os 0.383 0.250 0.038
4 Sc 0.323 0.559 0.835
5 Os 0.883 0.250 0.462
6 Sc 0.177 0.059 0.335
7 Sc 0.323 0.941 0.835
8 Os 0.117 0.750 0.538
9 Sc 0.535 0.250 0.615
10 Sc 0.823 0.941 0.665
11 Sc 0.465 0.750 0.385
12 Sc 0.823 0.559 0.665
13 Sc 0.177 0.441 0.335
14 Sc 0.965 0.750 0.115
15 Sc 0.677 0.441 0.165
16 Sc 0.677 0.059 0.165

Computed properties:
crystal system	orthorhombic
calculated formation energy	-0.326	eV per atom
calculated total energy	-7.88	eV per atom

=====

No. 6
ScOs2 | GGA-PBE | relaxed

a = 6.578 Å, b = 6.578 Å, c = 4.141 Å
α = 90.00°, β = 90.00°, γ = 147.59°
Element x y z (fractional)
1 Sc 0.914 0.086 0.750
2 Os 0.593 0.407 0.750
3 Os 0.407 0.593 0.250
4 Sc 0.086 0.914 0.250
5 Os 0.754 0.246 0.250
6 Os 0.246 0.754 0.750

Computed properties:
crystal system	orthorhombic
calculated formation energy	0.023	eV per atom
calculated total energy	-9.57	eV per atom

=====

No. 7
ScOs3 | GGA-PBE | relaxed

a = 4.802 Å, b = 4.802 Å, c = 2.800 Å
α = 90.00°, β = 90.00°, γ = 108.81°
Element x y z (fractional)
1 Sc 0.500 0.500 0.000
2 Os 0.000 0.000 0.000
3 Os 0.500 0.000 0.500
4 Os 0.000 0.500 0.500

Computed properties:
crystal system	orthorhombic
calculated formation energy	0.032	eV per atom
calculated total energy	-9.97	eV per atom

=====

No. 8
Sc3Os | GGA-PBE | relaxed

a = 5.636 Å, b = 10.930 Å, c = 10.930 Å
α = 90.00°, β = 90.00°, γ = 90.00°
Element x y z (fractional)
1 Sc 0.766 0.461 0.634
2 Sc 0.477 0.781 0.328
3 Os 0.719 0.711 0.550
4 Os 0.781 0.789 0.950
5 Sc 0.035 0.415 0.119
6 Sc 0.023 0.281 0.828
7 Sc 0.523 0.672 0.781
8 Os 0.781 0.211 0.050
9 Sc 0.465 0.915 0.619
10 Os 0.219 0.950 0.211
11 Sc 0.965 0.881 0.415
12 Sc 0.477 0.219 0.672
13 Sc 0.734 0.961 0.134
14 Sc 0.977 0.172 0.281
15 Sc 0.977 0.828 0.719
16 Sc 0.523 0.328 0.219
17 Sc 0.465 0.085 0.381
18 Sc 0.023 0.719 0.172
19 Sc 0.035 0.585 0.881
20 Sc 0.234 0.634 0.539
21 Sc 0.234 0.366 0.461
22 Sc 0.535 0.619 0.085
23 Sc 0.965 0.119 0.585
24 Sc 0.266 0.134 0.039
25 Os 0.719 0.289 0.450
26 Sc 0.535 0.381 0.915
27 Sc 0.734 0.039 0.866
28 Os 0.281 0.450 0.711
29 Os 0.281 0.550 0.289
30 Sc 0.266 0.866 0.961
31 Os 0.219 0.050 0.789
32 Sc 0.766 0.539 0.366

Computed properties:
crystal system	tetragonal
calculated formation energy	-0.271	eV per atom
calculated total energy	-7.83	eV per atom

=====

No. 9
ScOs3 | GGA-PBE | relaxed

a = 8.431 Å, b = 8.431 Å, c = 8.431 Å
α = 153.02°, β = 153.02°, γ = 38.52°
Element x y z (fractional)
1 Sc 0.620 0.620 0.000
2 Os 0.250 0.750 0.500
3 Os 0.500 0.000 0.500
4 Os 0.130 0.130 0.000
5 Os 0.870 0.870 0.000
6 Sc 0.380 0.380 0.000
7 Os 0.750 0.250 0.500
8 Os 0.000 0.500 0.500

Computed properties:
crystal system	tetragonal
calculated formation energy	0.092	eV per atom
calculated total energy	-9.91	eV per atom

=====

No. 10
Sc4Os3 | GGA-PBE | relaxed

a = 14.695 Å, b = 14.695 Å, c = 14.695 Å
α = 168.07°, β = 168.07°, γ = 16.90°
Element x y z (fractional)
1 Os 0.724 0.724 0.000
2 Sc 0.842 0.842 0.000
3 Os 0.000 0.000 0.000
4 Os 0.276 0.276 0.000
5 Sc 0.556 0.556 0.000
6 Sc 0.444 0.444 0.000
7 Sc 0.158 0.158 0.000

Computed properties:
energy relative to the lowest polymorph listed for this composition	0.066	eV/atom
crystal system	tetragonal
calculated formation energy	-0.163	eV per atom
calculated total energy	-8.59	eV per atom

=====

No. 11
ScOs3 | GGA-PBE | relaxed

a = 2.790 Å, b = 3.889 Å, c = 5.766 Å
α = 90.00°, β = 90.00°, γ = 90.00°
Element x y z (fractional)
1 Os 0.000 0.000 0.976
2 Os 0.500 0.500 0.750
3 Os 0.000 0.000 0.524
4 Sc 0.500 0.500 0.250

Computed properties:
crystal system	orthorhombic
calculated formation energy	0.083	eV per atom
calculated total energy	-9.92	eV per atom

=====

No. 12
Sc3Os | GGA-PBE | relaxed

a = 4.836 Å, b = 5.831 Å, c = 3.339 Å
α = 73.36°, β = 90.00°, γ = 114.50°
Element x y z (fractional)
1 Sc 0.711 0.588 0.706
2 Os 0.916 0.000 0.000
3 Sc 0.417 0.000 0.500
4 Sc 0.123 0.412 0.294

Computed properties:
crystal system	orthorhombic
calculated formation energy	-0.284	eV per atom
calculated total energy	-7.84	eV per atom